a | Na3Hg3Pb: relaxed, PBE-GGA.

Cell lengths 9.142, 9.142, 9.142 Å; angles 90.00, 90.00, 90.00 degrees
Element x y z (fractional)
Na: 0.125 0.375 0.625
Na: 0.152 0.848 0.348
Na: 0.203 0.203 0.203
Na: 0.297 0.797 0.703
Na: 0.348 0.152 0.848
Na: 0.375 0.625 0.125
Na: 0.625 0.125 0.375
Na: 0.652 0.652 0.652
Na: 0.703 0.297 0.797
Na: 0.797 0.703 0.297
Na: 0.848 0.348 0.152
Na: 0.875 0.875 0.875
Hg: 0.012 0.187 0.895
Hg: 0.105 0.512 0.313
Hg: 0.187 0.895 0.012
Hg: 0.313 0.105 0.512
Hg: 0.395 0.488 0.813
Hg: 0.488 0.813 0.395
Hg: 0.512 0.313 0.105
Hg: 0.605 0.988 0.687
Hg: 0.687 0.605 0.988
Hg: 0.813 0.395 0.488
Hg: 0.895 0.012 0.187
Hg: 0.988 0.687 0.605
Pb: 0.060 0.560 0.940
Pb: 0.440 0.440 0.440
Pb: 0.560 0.940 0.060
Pb: 0.940 0.060 0.560

Results
**D(E_F)**: 0.40 states/eV per atom
**Space-group type**: P2_13 (198)



b | Na3Hg3Pb: relaxed, PBE-GGA.

Cell lengths 8.052, 8.052, 8.052 Å; angles 90.00, 90.00, 90.00 degrees
Element x y z (fractional)
Na: 0.000 0.250 0.500
Na: 0.000 0.750 0.500
Na: 0.250 0.500 0.000
Na: 0.500 0.000 0.250
Na: 0.500 0.000 0.750
Na: 0.750 0.500 0.000
Hg: 0.000 0.500 0.250
Hg: 0.000 0.500 0.750
Hg: 0.250 0.000 0.500
Hg: 0.500 0.250 0.000
Hg: 0.500 0.750 0.000
Hg: 0.750 0.000 0.500
Pb: 0.000 0.000 0.000
Pb: 0.500 0.500 0.500

Results
**D(E_F)**: 0.63 states/eV per atom
**Space-group type**: Pm-3n (223)



Result of the stability comparison: a is the most stable of them.



a | Na8HgPb2: relaxed, PBE-GGA.

Cell lengths 9.406, 9.406, 9.406 Å; angles 145.72, 132.99, 59.46 degrees
Element x y z (fractional)
Na: 0.117 0.348 0.769
Na: 0.176 0.176 0.000
Na: 0.280 0.000 0.280
Na: 0.421 0.652 0.769
Na: 0.579 0.348 0.231
Na: 0.720 0.000 0.720
Na: 0.824 0.824 0.000
Na: 0.883 0.652 0.231
Hg: 0.000 0.500 0.500
Pb: 0.318 0.818 0.500
Pb: 0.682 0.182 0.500

Results
**D(E_F)**: 0.50 states/eV per atom
**Space-group type**: Immm (71)



b | Na8HgPb2: relaxed, PBE-GGA.

Cell lengths 8.613, 8.613, 5.979 Å; angles 103.46, 103.46, 116.27 degrees
Element x y z (fractional)
Na: 0.087 0.331 0.626
Na: 0.220 0.780 0.000
Na: 0.331 0.087 0.626
Na: 0.381 0.381 0.198
Na: 0.619 0.619 0.802
Na: 0.669 0.913 0.374
Na: 0.780 0.220 0.000
Na: 0.913 0.669 0.374
Hg: 0.000 0.000 0.000
Pb: 0.309 0.691 0.500
Pb: 0.691 0.309 0.500

Results
**D(E_F)**: 0.60 states/eV per atom
**Space-group type**: C2/m (12)



Result of the stability comparison: a is the most stable of them.



a | NaHg4Pb7: relaxed, PBE-GGA.

Cell lengths 5.462, 5.462, 13.504 Å; angles 90.00, 90.00, 120.00 degrees
Element x y z (fractional)
Na: 0.000 0.000 0.000
Hg: 0.333 0.667 0.121
Hg: 0.333 0.667 0.368
Hg: 0.667 0.333 0.632
Hg: 0.667 0.333 0.879
Pb: 0.000 0.000 0.248
Pb: 0.000 0.000 0.500
Pb: 0.000 0.000 0.752
Pb: 0.333 0.667 0.626
Pb: 0.333 0.667 0.873
Pb: 0.667 0.333 0.127
Pb: 0.667 0.333 0.374

Results
**D(E_F)**: 0.55 states/eV per atom
**Space-group type**: P-3m1 (164)



b | NaHg4Pb7: relaxed, PBE-GGA.

Cell lengths 7.746, 7.746, 11.241 Å; angles 123.11, 123.11, 43.29 degrees
Element x y z (fractional)
Na: 0.000 0.000 0.000
Hg: 0.286 0.286 0.674
Hg: 0.431 0.431 0.225
Hg: 0.569 0.569 0.775
Hg: 0.714 0.714 0.326
Pb: 0.081 0.081 0.341
Pb: 0.215 0.215 0.886
Pb: 0.350 0.350 0.428
Pb: 0.500 0.500 0.000
Pb: 0.650 0.650 0.572
Pb: 0.785 0.785 0.114
Pb: 0.919 0.919 0.659

Results
**D(E_F)**: 0.49 states/eV per atom
**Space-group type**: C2/m (12)



Result of the stability comparison: a is the most stable of them.



a | NaHg2Pb4: relaxed, PBE-GGA.

Cell lengths 11.262, 11.262, 3.422 Å; angles 90.00, 90.00, 151.23 degrees
Element x y z (fractional)
Na: 0.000 0.000 0.000
Hg: 0.432 0.568 0.500
Hg: 0.568 0.432 0.500
Pb: 0.151 0.849 0.500
Pb: 0.295 0.705 0.000
Pb: 0.705 0.295 0.000
Pb: 0.849 0.151 0.500

Results
**D(E_F)**: 0.44 states/eV per atom
**Space-group type**: Cmmm (65)



b | NaHg2Pb4: relaxed, PBE-GGA.

Cell lengths 11.426, 11.426, 11.426 Å; angles 156.89, 156.89, 32.91 degrees
Element x y z (fractional)
Na: 0.000 0.000 0.000
Hg: 0.419 0.419 0.000
Hg: 0.581 0.581 0.000
Pb: 0.141 0.141 0.000
Pb: 0.250 0.750 0.500
Pb: 0.750 0.250 0.500
Pb: 0.859 0.859 0.000

Results
**D(E_F)**: 0.47 states/eV per atom
**Space-group type**: I4/mmm (139)



Result of the stability comparison: a is the most stable of them.



a | NaHgPb: relaxed, PBE-GGA.

Cell lengths 6.839, 6.839, 6.839 Å; angles 149.50, 149.50, 43.67 degrees
Element x y z (fractional)
Na: 0.000 0.000 0.000
Hg: 0.354 0.354 0.000
Pb: 0.684 0.684 0.000

Results
**D(E_F)**: 0.22 states/eV per atom
**Space-group type**: I4mm (107)



b | NaHgPb: relaxed, PBE-GGA.

Cell lengths 5.033, 5.033, 5.033 Å; angles 60.00, 60.00, 60.00 degrees
Element x y z (fractional)
Na: 0.000 0.000 0.000
Hg: 0.750 0.750 0.750
Pb: 0.500 0.500 0.500

Results
**D(E_F)**: 0.62 states/eV per atom
**Space-group type**: F-43m (216)



c | NaHgPb: relaxed, PBE-GGA.

Cell lengths 9.219, 9.219, 9.219 Å; angles 159.53, 138.75, 46.47 degrees
Element x y z (fractional)
Na: 0.156 0.156 0.000
Na: 0.844 0.844 0.000
Hg: 0.335 0.335 0.000
Hg: 0.665 0.665 0.000
Pb: 0.248 0.500 0.748
Pb: 0.752 0.500 0.252

Results
**D(E_F)**: 0.33 states/eV per atom
**Space-group type**: Immm (71)



Result of the stability comparison: a is the most stable of them.



a | Na7Hg2Pb2: relaxed, PBE-GGA.

Cell lengths 6.363, 6.363, 8.247 Å; angles 98.10, 98.10, 94.22 degrees
Element x y z (fractional)
Na: 0.000 0.000 0.000
Na: 0.100 0.483 0.803
Na: 0.161 0.161 0.420
Na: 0.483 0.100 0.803
Na: 0.517 0.900 0.197
Na: 0.839 0.839 0.580
Na: 0.900 0.517 0.197
Hg: 0.379 0.379 0.131
Hg: 0.621 0.621 0.869
Pb: 0.324 0.676 0.500
Pb: 0.676 0.324 0.500

Results
**D(E_F)**: 0.51 states/eV per atom
**Space-group type**: C2/m (12)



b | Na7Hg2Pb2: relaxed, PBE-GGA.

Cell lengths 6.966, 6.966, 8.082 Å; angles 90.00, 90.00, 113.31 degrees
Element x y z (fractional)
Na: 0.000 0.000 0.000
Na: 0.000 0.500 0.304
Na: 0.000 0.500 0.696
Na: 0.500 0.000 0.304
Na: 0.500 0.000 0.696
Na: 0.500 0.500 0.224
Na: 0.500 0.500 0.776
Hg: 0.272 0.728 0.000
Hg: 0.728 0.272 0.000
Pb: 0.197 0.197 0.500
Pb: 0.803 0.803 0.500

Results
**D(E_F)**: 0.42 states/eV per atom
**Space-group type**: Cmmm (65)



Result of the stability comparison: a is the most stable of them.